Entry 1:
Here is a relaxed Cs2BrCl6O crystal from Alexandria via LeMat-Bulk. Energies are from PBE.

Cell lengths 7.2146, 7.2146, 7.5652 Å; angles 61.52, 61.52, 90.00 degrees
Sites, in units of the cell vectors:
1 Cs 0.2500 0.7500 0.5000
2 Cs 0.7500 0.2500 0.5000
3 Cl 0.2868 0.2868 0.0000
4 Cl 0.7864 0.7864 0.4271
5 Cl 0.2868 0.7132 0.0000
6 Cl 0.7132 0.7132 0.0000
7 Cl 0.2136 0.2136 0.5729
8 Cl 0.7132 0.2868 0.0000
9 Br 0.0000 0.0000 0.0000
10 O 0.5000 0.5000 0.0000

Total magnetization: 0.00 μB/f.u.
Space-group type: I4/mmm (139)
Raw formation energy: -0.59 eV per atom

---

Entry 2:
Here is a relaxed LuZrPdRu crystal from Alexandria via LeMat-Bulk. Energies are from PBE.

Cell lengths 4.7337, 4.7337, 4.7337 Å; angles 60.00, 60.00, 60.00 degrees
Sites, in units of the cell vectors:
1 Ru 0.7500 0.7500 0.7500
2 Zr 0.0000 0.0000 0.0000
3 Pd 0.2500 0.2500 0.2500
4 Lu 0.5000 0.5000 0.5000

Total magnetization: 0.00 μB/f.u.
ΔE_f: -0.68 eV/atom
Space-group type: F-43m (216)